## Tb2CeTm3 (PBE)

Data for a geometry-optimized Tb2CeTm3 structure.

For the total energy, the calculation gives -110.76 eV for the cell shown. As for the calculated density: 8.60 g/cm3. The energy of formation is 0.153 eV per atom. The value obtained for the total moment is 0.118 μB/atom.

The structure belongs to space group C2/m (No. 12); the cell edges are 17.749, 3.417 and 13.964 Å and the angles 90.00°, 118.33° and 90.00°. Symmetry generates all atoms from Tb at (0.157, 0.000, 0.463), Tb at (0.178, 0.500, 0.881), Ce at (0.048, 0.000, 0.613), Tm at (0.041, 0.500, 0.209), Tm at (0.100, 0.000, 0.028) and Tm at (0.241, 0.000, 0.293).

## Be2TlP (PBE)

Data for a geometry-optimized Be2TlP structure.

For the total energy, the calculation gives -28.98 eV for the cell shown. As for the calculated density: 6.51 g/cm3. The energy of formation is 0.184 eV per atom. The value obtained for the total moment is 0.000 μB/atom.

The structure belongs to space group C2/m (No. 12); the cell edges are 6.016, 3.465 and 6.548 Å and the angles 90.00°, 108.78° and 90.00°. Symmetry generates all atoms from Be at (0.219, 0.000, 0.148), Tl at (0.000, 0.000, 0.500) and P at (0.000, 0.500, 0.000).

## ZnW2I (PBE)

Data for a geometry-optimized ZnW2I structure.

For the total energy, the calculation gives -96.18 eV for the cell shown. As for the calculated density: 11.67 g/cm3. Its uncorrected formation energy is 1.17 eV/atom. The value obtained for the total moment is 0.000 μB/atom.

The structure belongs to space group I-42d (No. 122); the cell edges are 4.080, 4.080 and 19.155 Å and the angles 90.00°, 90.00° and 90.00°. Symmetry generates all atoms from Zn at (0.000, 0.000, 0.000), W at (0.191, 0.250, 0.125) and I at (0.000, 0.000, 0.500).

## K2TlPt2 (PBE)

Data for a geometry-optimized K2TlPt2 structure.

For the total energy, the calculation gives -29.39 eV for the cell shown. As for the calculated density: 7.38 g/cm3. The energy of formation is 0.390 eV per atom. The value obtained for the total moment is 0.182 μB/atom.

The structure belongs to space group I4/mmm (No. 139); the cell edges are 4.735, 4.735 and 13.496 Å and the angles 90.00°, 90.00° and 90.00°. Symmetry generates all atoms from K at (0.000, 0.500, 0.250), Tl at (0.000, 0.000, 0.000) and Pt at (0.000, 0.000, 0.407).

## TiCu4Pd (PBE)

Data for a geometry-optimized TiCu4Pd structure.

For the total energy, the calculation gives -122.44 eV for the cell shown. As for the calculated density: 8.58 g/cm3. The energy of formation is -0.189 eV per atom. The value obtained for the total moment is 0.000 μB/atom.

The structure belongs to space group F-43m (No. 216); the cell edges are 6.812, 6.812 and 6.812 Å and the angles 90.00°, 90.00° and 90.00°. Symmetry generates all atoms from Ti at (0.000, 0.000, 0.000), Cu at (0.125, 0.125, 0.375) and Pd at (0.250, 0.250, 0.750).

## RbPtC3 (PBE)

Data for a geometry-optimized RbPtC3 structure.

For the total energy, the calculation gives -23.06 eV for the cell shown. As for the calculated density: 6.83 g/cm3. The energy of formation is 2.325 eV per atom. The value obtained for the total moment is 0.999 μB/atom.

The structure belongs to space group Pm-3m (No. 221); the cell edges are 4.253, 4.253 and 4.253 Å and the angles 90.00°, 90.00° and 90.00°. Symmetry generates all atoms from Rb at (0.000, 0.000, 0.000), Pt at (0.500, 0.500, 0.500) and C at (0.000, 0.500, 0.500).

## SmEr2TmHg4 (PBE)

Data for a geometry-optimized SmEr2TmHg4 structure.

For the total energy, the calculation gives -69.90 eV for the cell shown. As for the calculated density: 11.79 g/cm3. The energy of formation is -0.472 eV per atom. The value obtained for the total moment is 0.027 μB/atom.

The structure belongs to space group R-3m (No. 166, hexagonal axes); the cell edges are 5.2474, 5.2474 and 25.8080 Å and the angles 90.00°, 90.00° and 120.00°. Symmetry generates all atoms from Sm at (0.0000, 0.0000, 0.0000), Er at (0.0000, 0.0000, 0.2491), Tm at (0.0000, 0.0000, 0.5000), Hg at (0.0000, 0.0000, 0.1266) and Hg at (0.0000, 0.0000, 0.3771).

## Pr2Nd4SmTl2 (PBE)

Data for a geometry-optimized Pr2Nd4SmTl2 structure.

For the total energy, the calculation gives -38.87 eV for the cell shown. As for the calculated density: 7.71 g/cm3. The energy of formation is -0.088 eV per atom. The value obtained for the total moment is 0.000 μB/atom.

The structure belongs to space group P-1 (No. 2); the cell edges are 6.516, 6.867 and 8.429 Å and the angles 66.58°, 79.52° and 61.98°. Symmetry generates all atoms from Pr at (0.181, 0.019, 0.321), Nd at (0.306, 0.972, 0.877), Nd at (0.403, 0.520, 0.728), Sm at (0.000, 0.500, 0.500) and Tl at (0.141, 0.552, 0.098).

## Cd3SeF3 (PBE)

Data for a geometry-optimized Cd3SeF3 structure.

For the total energy, the calculation gives -131.82 eV for the cell shown. As for the calculated density: 5.73 g/cm3. Its uncorrected formation energy is -1.45 eV/atom. The value obtained for the total moment is 0.000 μB/atom.

The structure belongs to space group R-3 (No. 148, hexagonal axes); the cell edges are 7.0246, 7.0246 and 19.2648 Å and the angles 90.00°, 90.00° and 120.00°. Symmetry generates all atoms from Cd at (0.0123, 0.3201, 0.2453), Se at (0.0000, 0.0000, 0.3326) and F at (0.0200, 0.2870, 0.1245).

## LiPtN2O (PBE)

Data for a geometry-optimized LiPtN2O structure.

For the total energy, the calculation gives -21.23 eV for the cell shown. As for the calculated density: 8.80 g/cm3. Its uncorrected formation energy is 1.67 eV/atom. The value obtained for the total moment is 0.000 μB/atom.

The structure belongs to space group P4/mmm (No. 123); the cell edges are 3.565, 3.565 and 3.651 Å and the angles 90.00°, 90.00° and 90.00°. Symmetry generates all atoms from Li at (0.000, 0.000, 0.000), Pt at (0.500, 0.500, 0.500), N at (0.000, 0.500, 0.000) and O at (0.000, 0.000, 0.500).

## La2ErSe2O2 (PBE)

Data for a geometry-optimized La2ErSe2O2 structure.

For the total energy, the calculation gives -98.40 eV for the cell shown. As for the calculated density: 7.11 g/cm3. Its uncorrected formation energy is -2.56 eV/atom. The value obtained for the total moment is 0.005 μB/atom.

The structure belongs to space group I4/mmm (No. 139); the cell edges are 4.337, 4.337 and 15.780 Å and the angles 90.00°, 90.00° and 90.00°. Symmetry generates all atoms from La at (0.000, 0.000, 0.127), Er at (0.000, 0.000, 0.500), Se at (0.000, 0.000, 0.322) and O at (0.000, 0.500, 0.000).

## Al2Rh2Se (PBE)

Data for a geometry-optimized Al2Rh2Se structure.

For the total energy, the calculation gives -57.22 eV for the cell shown. As for the calculated density: 7.30 g/cm3. Its uncorrected formation energy is -0.59 eV/atom. The value obtained for the total moment is 0.000 μB/atom.

The structure belongs to space group P4/mbm (No. 127); the cell edges are 7.282, 7.282 and 2.906 Å and the angles 90.00°, 90.00° and 90.00°. Symmetry generates all atoms from Al at (0.144, 0.356, 0.000), Rh at (0.150, 0.650, 0.500) and Se at (0.000, 0.000, 0.500).

## Tl4HgTe2 (PBE)

Data for a geometry-optimized Tl4HgTe2 structure.

For the total energy, the calculation gives -70.88 eV for the cell shown. As for the calculated density: 8.59 g/cm3. Its uncorrected formation energy is -0.24 eV/atom. The value obtained for the total moment is 0.000 μB/atom.

The structure belongs to space group Cc (No. 9); the cell edges are 9.602, 14.382 and 8.594 Å and the angles 90.00°, 123.95° and 90.00°. Symmetry generates all atoms from Tl at (0.000, 0.003, 0.000), Tl at (0.062, 0.419, 0.836), Tl at (0.091, 0.247, 0.182), Tl at (0.317, 0.169, 0.846), Hg at (0.243, 0.375, 0.591), Te at (0.298, 0.056, 0.453) and Te at (0.436, 0.306, 0.229).

## CaAs2Pt5 (PBE)

Data for a geometry-optimized CaAs2Pt5 structure.

For the total energy, the calculation gives -91.02 eV for the cell shown. As for the calculated density: 13.41 g/cm3. The energy of formation is -0.501 eV per atom. The value obtained for the total moment is 0.000 μB/atom.

The structure belongs to space group C2/m (No. 12); the cell edges are 10.613, 7.251 and 4.053 Å and the angles 90.00°, 112.30° and 90.00°. Symmetry generates all atoms from Ca at (0.000, 0.000, 0.000), As at (0.248, 0.000, 0.747), Pt at (0.000, 0.500, 0.000) and Pt at (0.143, 0.298, 0.643).

## ErMnN2 (PBE)

Data for a geometry-optimized ErMnN2 structure.

For the total energy, the calculation gives -97.80 eV for the cell shown. As for the calculated density: 9.23 g/cm3. Its uncorrected formation energy is -0.55 eV/atom. The value obtained for the total moment is 0.504 μB/atom.

The structure belongs to space group R3m (No. 160, hexagonal axes); the cell edges are 3.1329, 3.1329 and 15.8788 Å and the angles 90.00°, 90.00° and 120.00°. Symmetry generates all atoms from Er at (0.0000, 0.0000, 0.0000), Mn at (0.0000, 0.0000, 0.8240), N at (0.0000, 0.0000, 0.4234) and N at (0.0000, 0.0000, 0.5726).

## TiAgPd3 (PBE)

Data for a geometry-optimized TiAgPd3 structure.

For the total energy, the calculation gives -112.68 eV for the cell shown. As for the calculated density: 9.97 g/cm3. The energy of formation is -0.369 eV per atom. The value obtained for the total moment is 0.000 μB/atom.

The structure belongs to space group C2/m (No. 12); the cell edges are 8.980, 3.876 and 9.090 Å and the angles 90.00°, 90.99° and 90.00°. Symmetry generates all atoms from Ti at (0.065, 0.000, 0.151), Ag at (0.053, 0.500, 0.649), Pd at (0.142, 0.500, 0.952), Pd at (0.151, 0.000, 0.441) and Pd at (0.248, 0.500, 0.244).

## HfV6B4 (PBE)

Data for a geometry-optimized HfV6B4 structure.

For the total energy, the calculation gives -186.42 eV for the cell shown. As for the calculated density: 6.57 g/cm3. The energy of formation is -0.167 eV per atom. The value obtained for the total moment is 0.000 μB/atom.

The structure belongs to space group I-42m (No. 121); the cell edges are 5.825, 5.825 and 7.852 Å and the angles 90.00°, 90.00° and 90.00°. Symmetry generates all atoms from Hf at (0.000, 0.000, 0.000), V at (0.000, 0.500, 0.000), V at (0.154, 0.154, 0.326) and B at (0.215, 0.215, 0.590).

## SrHfSb (PBE)

Data for a geometry-optimized SrHfSb structure.

For the total energy, the calculation gives -35.18 eV for the cell shown. As for the calculated density: 7.37 g/cm3. Its uncorrected formation energy is -0.61 eV/atom. The value obtained for the total moment is 0.000 μB/atom.

The structure belongs to space group P4/nmm (No. 129, origin choice 2); the cell edges are 4.444, 4.444 and 8.851 Å and the angles 90.00°, 90.00° and 90.00°. Symmetry generates all atoms from Sr at (0.250, 0.250, 0.157), Hf at (0.250, 0.750, 0.500) and Sb at (0.250, 0.250, 0.737).

## La5Rh (PBE)

Data for a geometry-optimized La5Rh structure.

For the total energy, the calculation gives -65.69 eV for the cell shown. As for the calculated density: 6.68 g/cm3. The energy of formation is -0.142 eV per atom. The value obtained for the total moment is 0.000 μB/atom.

The structure belongs to space group Amm2 (No. 38); the cell edges are 6.020, 3.863 and 17.054 Å and the angles 90.00°, 90.00° and 90.00°. Symmetry generates all atoms from La at (0.000, 0.000, 0.000), La at (0.000, 0.000, 0.248), La at (0.500, 0.000, 0.087), La at (0.500, 0.000, 0.411), La at (0.500, 0.000, 0.736) and Rh at (0.000, 0.000, 0.629).

## KTaAsSe2 (PBE)

Data for a geometry-optimized KTaAsSe2 structure.

For the total energy, the calculation gives -27.21 eV for the cell shown. As for the calculated density: 5.65 g/cm3. Its uncorrected formation energy is -0.53 eV/atom. The value obtained for the total moment is 0.000 μB/atom.

The structure belongs to space group P4/mmm (No. 123); the cell edges are 5.114, 5.114 and 5.090 Å and the angles 90.00°, 90.00° and 90.00°. Symmetry generates all atoms from K at (0.000, 0.000, 0.000), Ta at (0.500, 0.500, 0.500), As at (0.500, 0.500, 0.000) and Se at (0.000, 0.500, 0.500).